Entry 1:
A plane-wave DFT calculation with PBE was carried out for an optimized crystal structure of GdInO3.

a = 5.780 Å, b = 5.780 Å, c = 5.780 Å
α = 120.93°, β = 87.75°, γ = 121.69°
Atoms (fractional coordinates):
Gd1 0.214 0.964 0.250
Gd2 0.786 0.036 0.750
In1 0.500 0.500 0.000
In2 0.000 0.500 0.500
O1 0.166 0.500 0.166
O2 0.608 0.358 0.250
O3 0.834 0.000 0.334
O4 0.166 0.000 0.666
O5 0.392 0.642 0.750
O6 0.834 0.500 0.834

Values from the calculation:
space-group type	No. 74


Entry 2:
A plane-wave DFT calculation with PBE was carried out for an optimized crystal structure of Rb2GdInO4.

a = 3.444 Å, b = 3.444 Å, c = 12.830 Å
α = 90.00°, β = 90.00°, γ = 120.00°
Atoms (fractional coordinates):
Gd1 0.000 0.000 0.500
In1 0.000 0.000 0.000
O1 0.333 0.667 0.087
O2 0.333 0.667 0.407
O3 0.667 0.333 0.593
O4 0.667 0.333 0.913
Rb1 0.667 0.333 0.244
Rb2 0.333 0.667 0.756

Values from the calculation:
space-group type	No. 164


Entry 3:
A plane-wave DFT calculation with PBE was carried out for an optimized crystal structure of GdZnInO3.

a = 8.574 Å, b = 8.574 Å, c = 6.691 Å
α = 90.00°, β = 90.00°, γ = 21.19°
Atoms (fractional coordinates):
Gd1 0.000 0.000 0.000
Gd2 0.000 0.000 0.500
In1 0.315 0.315 0.250
In2 0.685 0.685 0.750
O1 0.874 0.874 0.042
O2 0.735 0.735 0.250
O3 0.874 0.874 0.458
O4 0.126 0.126 0.542
O5 0.265 0.265 0.750
O6 0.126 0.126 0.958
Zn1 0.626 0.626 0.250
Zn2 0.374 0.374 0.750

Values from the calculation:
space-group type	No. 63


Entry 4:
A plane-wave DFT calculation with PBE was carried out for an optimized crystal structure of GdPaIn.

a = 5.125 Å, b = 5.125 Å, c = 5.125 Å
α = 60.00°, β = 60.00°, γ = 60.00°
Atoms (fractional coordinates):
Gd1 0.000 0.000 0.000
In1 0.750 0.750 0.750
Pa1 0.500 0.500 0.500

Values from the calculation:
space-group type	No. 216


Entry 5:
A plane-wave DFT calculation with PBE was carried out for an optimized crystal structure of Gd3In4Pb3.

a = 12.857 Å, b = 12.857 Å, c = 4.639 Å
α = 90.00°, β = 90.00°, γ = 159.26°
Atoms (fractional coordinates):
Gd1 0.687 0.313 0.000
Gd2 0.500 0.500 0.000
Gd3 0.313 0.687 0.000
In1 0.904 0.096 0.000
In2 0.096 0.904 0.000
In3 0.597 0.403 0.500
In4 0.403 0.597 0.500
Pb1 0.000 0.000 0.500
Pb2 0.797 0.203 0.500
Pb3 0.203 0.797 0.500

Values from the calculation:
space-group type	No. 65


Entry 6:
A plane-wave DFT calculation with PBE was carried out for an optimized crystal structure of Gd3In5Pb2.

a = 12.631 Å, b = 12.631 Å, c = 4.633 Å
α = 90.00°, β = 90.00°, γ = 158.93°
Atoms (fractional coordinates):
Gd1 0.686 0.314 0.500
Gd2 0.500 0.500 0.500
Gd3 0.314 0.686 0.500
In1 0.000 0.000 0.000
In2 0.594 0.406 0.000
In3 0.406 0.594 0.000
In4 0.907 0.093 0.500
In5 0.093 0.907 0.500
Pb1 0.798 0.202 0.000
Pb2 0.202 0.798 0.000

Values from the calculation:
space-group type	No. 65


Entry 7:
A plane-wave DFT calculation with PBE was carried out for an optimized crystal structure of Gd2InPb.

a = 4.983 Å, b = 4.983 Å, c = 4.459 Å
α = 90.00°, β = 90.00°, γ = 90.00°
Atoms (fractional coordinates):
Gd1 0.500 0.000 0.000
Gd2 0.000 0.500 0.000
In1 0.000 0.000 0.500
Pb1 0.500 0.500 0.500

Values from the calculation:
space-group type	No. 123


Entry 8:
A plane-wave DFT calculation with PBE was carried out for an optimized crystal structure of GdInTe3Pb.

a = 7.903 Å, b = 7.903 Å, c = 11.063 Å
α = 90.00°, β = 90.00°, γ = 147.06°
Atoms (fractional coordinates):
Gd1 0.000 0.000 0.000
Gd2 0.000 0.000 0.500
In1 0.473 0.527 0.250
In2 0.527 0.473 0.750
Pb1 0.773 0.227 0.250
Pb2 0.227 0.773 0.750
Te1 0.353 0.647 0.034
Te2 0.111 0.889 0.250
Te3 0.353 0.647 0.466
Te4 0.647 0.353 0.534
Te5 0.889 0.111 0.750
Te6 0.647 0.353 0.966

Values from the calculation:
space-group type	No. 63


VASP energy per entry: -68.9 -45.7 -62.2 -15.5 -40.3 -39.6 -17.6 -48.1 eV/cell